VASP calculation (PBE) on Na12Au3Cl5 after structural relaxation.

Cell: 14.5996 14.5996 14.5996 Å, 109.47 109.47 109.47°
With the nearest neighbours (Å) after each atom.
Fractional coordinates of all 80 atoms:
Au  0.7500  0.3750  0.1250  8 Na 3.11-3.14
Au  0.8750  0.7500  0.1250  8 Na 3.11-3.14
Au  0.3750  0.7500  0.6250  8 Na 3.11-3.14
Au  0.2500  0.1250  0.3750  8 Na 3.11-3.14
Au  0.8750  0.1250  0.2500  8 Na 3.11-3.14
Au  0.3750  0.6250  0.2500  8 Na 3.11-3.14
Au  0.6250  0.3750  0.7500  8 Na 3.11-3.14
Au  0.1250  0.8750  0.7500  8 Na 3.11-3.14
Au  0.7500  0.8750  0.6250  8 Na 3.11-3.14
Au  0.6250  0.2500  0.3750  8 Na 3.11-3.14
Au  0.1250  0.2500  0.8750  8 Na 3.11-3.14
Au  0.2500  0.6250  0.8750  8 Na 3.11-3.14
Cl  0.1250  0.3750  0.2500  4 Na 2.69
Cl  0.0000  0.5000  0.0000  6 Na 2.83
Cl  0.0000  0.0000  0.0000  6 Na 2.83
Cl  0.3750  0.2500  0.1250  4 Na 2.69
Cl  0.5000  0.0000  0.5000  6 Na 2.83
Cl  0.5000  0.5000  0.0000  6 Na 2.83
Cl  0.1250  0.7500  0.3750  4 Na 2.69
Cl  0.7500  0.1250  0.8750  4 Na 2.69
Cl  0.7500  0.6250  0.3750  4 Na 2.69
Cl  0.3750  0.1250  0.7500  4 Na 2.69
Cl  0.6250  0.8750  0.2500  4 Na 2.69
Cl  0.5000  0.5000  0.5000  6 Na 2.83
Cl  0.5000  0.0000  0.0000  6 Na 2.83
Cl  0.0000  0.0000  0.5000  6 Na 2.83
Cl  0.2500  0.3750  0.6250  4 Na 2.69
Cl  0.2500  0.8750  0.1250  4 Na 2.69
Cl  0.0000  0.5000  0.5000  6 Na 2.83
Cl  0.8750  0.2500  0.6250  4 Na 2.69
Cl  0.6250  0.7500  0.8750  4 Na 2.69
Cl  0.8750  0.6250  0.7500  4 Na 2.69
Na  0.7197  0.1361  0.0498  2 Cl 2.69-2.83
Na  0.3300  0.5498  0.4137  2 Cl 2.69-2.83
Na  0.9502  0.3639  0.2803  2 Cl 2.69-2.83
Na  0.5498  0.2197  0.1361  2 Cl 2.69-2.83
Na  0.5837  0.7197  0.6700  2 Cl 2.69-2.83
Na  0.9502  0.5863  0.1700  2 Cl 2.69-2.83
Na  0.3300  0.7803  0.4163  2 Cl 2.69-2.83
Na  0.0863  0.9163  0.1361  2 Cl 2.69-2.83
Na  0.5863  0.9502  0.6700  2 Cl 2.69-2.83
Na  0.7197  0.5837  0.1700  2 Cl 2.69-2.83
Na  0.7803  0.4502  0.3639  2 Cl 2.69-2.83
Na  0.8300  0.9137  0.0498  2 Cl 2.69-2.83
Na  0.1361  0.7197  0.5498  2 Cl 2.69-2.83
Na  0.3639  0.4137  0.0837  2 Cl 2.69-2.83
Na  0.0837  0.9137  0.3639  2 Cl 2.69-2.83
Na  0.4163  0.1361  0.5863  2 Cl 2.69-2.83
Na  0.0837  0.1700  0.2197  2 Cl 2.69-2.83
Na  0.4502  0.6700  0.0863  2 Cl 2.69-2.83
Na  0.8300  0.9163  0.2803  2 Cl 2.69-2.83
Na  0.1361  0.4163  0.0863  2 Cl 2.69-2.83
Na  0.3639  0.9502  0.7803  2 Cl 2.69-2.83
Na  0.5863  0.6361  0.4163  2 Cl 2.69-2.83
Na  0.9137  0.8300  0.5498  2 Cl 2.69-2.83
Na  0.7803  0.3300  0.9163  2 Cl 2.69-2.83
Na  0.4137  0.3639  0.5837  2 Cl 2.69-2.83
Na  0.0863  0.1700  0.4502  2 Cl 2.69-2.83
Na  0.2197  0.6700  0.0837  2 Cl 2.69-2.83
Na  0.1700  0.0837  0.7197  2 Cl 2.69-2.83
Na  0.6361  0.0498  0.2197  2 Cl 2.69-2.83
Na  0.8639  0.5837  0.9137  2 Cl 2.69-2.83
Na  0.5498  0.3300  0.9137  2 Cl 2.69-2.83
Na  0.5837  0.8639  0.4137  2 Cl 2.69-2.83
Na  0.9163  0.8300  0.7803  2 Cl 2.69-2.83
Na  0.9163  0.0863  0.6361  2 Cl 2.69-2.83
Na  0.8639  0.2803  0.4502  2 Cl 2.69-2.83
Na  0.1700  0.0863  0.9502  2 Cl 2.69-2.83
Na  0.6361  0.5863  0.9163  2 Cl 2.69-2.83
Na  0.4137  0.0498  0.3300  2 Cl 2.69-2.83
Na  0.2803  0.4163  0.8300  2 Cl 2.69-2.83
Na  0.2197  0.5498  0.6361  2 Cl 2.69-2.83
Na  0.9137  0.0837  0.8639  2 Cl 2.69-2.83
Na  0.6700  0.2197  0.5837  2 Cl 2.69-2.83
Na  0.4502  0.7803  0.8639  2 Cl 2.69-2.83
Na  0.0498  0.4137  0.8300  2 Cl 2.69-2.83
Na  0.4163  0.2803  0.3300  2 Cl 2.69-2.83
Na  0.0498  0.6361  0.7197  2 Cl 2.69-2.83
Na  0.6700  0.4502  0.5863  2 Cl 2.69-2.83
Na  0.2803  0.8639  0.9502  2 Cl 2.69-2.83

The value obtained for the total magnetization is 0.0000 μB/atom. For the total DFT energy (no corrections), the calculation gives -2.62 eV per atom. Its space group is No. 230.

---

VASP calculation (PBE) on NaAuCl5 after structural relaxation.

Cell: 7.5580 7.5580 9.9272 Å, 70.90 70.90 52.31°
With the nearest neighbours (Å) after each atom.
Fractional coordinates of all 14 atoms:
Na  0.4398  0.5602  0.2500  5 Cl 2.89-2.96
Na  0.5602  0.4398  0.7500  5 Cl 2.89-2.96
Au  0.0000  0.0000  0.0000  6 Cl 2.35-2.60
Au  0.0000  0.0000  0.5000  6 Cl 2.35-2.60
Cl  0.1186  0.6256  0.1108  1 Au 2.35
Cl  0.1030  0.6311  0.5166  1 Au 2.35
Cl  0.6256  0.1186  0.6108  1 Au 2.35
Cl  0.8835  0.1165  0.2500  2 Au 2.60
Cl  0.3689  0.8970  0.9834  1 Au 2.35
Cl  0.6311  0.1030  0.0166  1 Au 2.35
Cl  0.1165  0.8835  0.7500  2 Au 2.60
Cl  0.3744  0.8814  0.3892  1 Au 2.35
Cl  0.8970  0.3689  0.4834  1 Au 2.35
Cl  0.8814  0.3744  0.8892  1 Au 2.35

The value obtained for the total magnetization is 0.0000 μB/atom. For the total DFT energy (no corrections), the calculation gives -2.57 eV per atom. As for the energy above the lowest structure with this stoichiometry: 1.6 kJ/mol of atoms. Its space group is No. 15.

---

VASP calculation (PBE) on NaAuCl2 after structural relaxation.

Cell: 4.2923 4.2923 14.7253 Å, 90.00 90.00 120.00°
With the nearest neighbours (Å) after each atom.
Fractional coordinates of all 8 atoms:
Na  0.0000  0.0000  0.5000  6 Cl 2.84
Na  0.0000  0.0000  0.0000  6 Cl 2.84
Au  0.6667  0.3333  0.7500  2 Cl 2.30
Au  0.3333  0.6667  0.2500  2 Cl 2.30
Cl  0.6667  0.3333  0.5938  1 Au 2.30
Cl  0.6667  0.3333  0.9062  1 Au 2.30
Cl  0.3333  0.6667  0.4062  1 Au 2.30
Cl  0.3333  0.6667  0.0938  1 Au 2.30

The value obtained for the total magnetization is 0.0000 μB/atom. For the total DFT energy (no corrections), the calculation gives -3.07 eV per atom. As for the energy above the lowest structure with this stoichiometry: 0.1 kJ/mol of atoms. Its space group is No. 194.

---

VASP calculation (PBE) on NaAuCl2 after structural relaxation.

Cell: 7.7761 7.7761 7.7761 Å, 32.02 32.02 32.02°
With the nearest neighbours (Å) after each atom.
Fractional coordinates of all 4 atoms:
Na  0.5000  0.5000  0.5000  6 Cl 2.84
Au  0.0000  0.0000  0.0000  2 Cl 2.30
Cl  0.8960  0.8960  0.8960  1 Au 2.30
Cl  0.1040  0.1040  0.1040  1 Au 2.30

The value obtained for the total magnetization is 0.0000 μB/atom. For the total DFT energy (no corrections), the calculation gives -3.07 eV per atom. As for the energy above the lowest structure with this stoichiometry: 0.0 kJ/mol of atoms. Its space group is No. 166.

---

VASP calculation (PBE) on Na2Au3Cl6 after structural relaxation.

Cell: 7.1638 7.1063 15.5124 Å, 76.68 76.65 59.73°
With the nearest neighbours (Å) after each atom.
Fractional coordinates of all 22 atoms:
Na  0.3345  0.8352  0.9960  6 Cl 2.82-2.83
Na  0.8343  0.3352  0.4960  6 Cl 2.82-2.83
Na  0.6655  0.1648  0.0040  6 Cl 2.82-2.83
Na  0.1657  0.6648  0.5040  6 Cl 2.82-2.83
Au  0.0775  0.9238  0.7500  2 Cl 2.27
Au  0.4249  0.2500  0.7500  2 Cl 2.27
Au  0.7513  0.5762  0.7500  2 Cl 2.27
Au  0.2487  0.4238  0.2500  2 Cl 2.27
Au  0.9225  0.0762  0.2500  2 Cl 2.27
Au  0.5751  0.7500  0.2500  2 Cl 2.27
Cl  0.0274  0.8592  0.9019  1 Au 2.27
Cl  0.3604  0.2138  0.9019  1 Au 2.27
Cl  0.7140  0.5255  0.9020  1 Au 2.27
Cl  0.2115  0.3592  0.4019  1 Au 2.27
Cl  0.8585  0.0255  0.4020  1 Au 2.27
Cl  0.5239  0.7138  0.4019  1 Au 2.27
Cl  0.9726  0.1408  0.0981  1 Au 2.27
Cl  0.6396  0.7862  0.0981  1 Au 2.27
Cl  0.2860  0.4745  0.0980  1 Au 2.27
Cl  0.7885  0.6408  0.5981  1 Au 2.27
Cl  0.1415  0.9745  0.5980  1 Au 2.27
Cl  0.4761  0.2862  0.5981  1 Au 2.27

The value obtained for the total magnetization is 0.0001 μB/atom. For the total DFT energy (no corrections), the calculation gives -2.86 eV per atom. Its space group is No. 15.

---

VASP calculation (PBE) on Na3AuCl6 after structural relaxation.

Cell: 7.3063 7.3063 7.3063 Å, 60.00 60.00 60.00°
With the nearest neighbours (Å) after each atom.
Fractional coordinates of all 10 atoms:
Na  0.7500  0.7500  0.7500  12 Cl 3.65
Na  0.2500  0.2500  0.2500  12 Cl 3.65
Na  0.5000  0.5000  0.5000  6 Cl 2.67
Au  0.0000  0.0000  0.0000  6 Cl 2.50
Cl  0.2415  0.7585  0.2415  1 Au 2.50, 1 Na 2.67
Cl  0.7585  0.2415  0.2415  1 Au 2.50, 1 Na 2.67
Cl  0.7585  0.2415  0.7585  1 Au 2.50, 1 Na 2.67
Cl  0.2415  0.2415  0.7585  1 Au 2.50, 1 Na 2.67
Cl  0.7585  0.7585  0.2415  1 Au 2.50, 1 Na 2.67
Cl  0.2415  0.7585  0.7585  1 Au 2.50, 1 Na 2.67

The value obtained for the total magnetization is 0.1292 μB/atom. For the total DFT energy (no corrections), the calculation gives -2.79 eV per atom. As for the energy above the lowest structure with this stoichiometry: 20.6 kJ/mol of atoms. Its space group is No. 225.

---

VASP calculation (PBE) on NaAuCl after structural relaxation.

Cell: 3.8416 3.9115 11.0140 Å, 90.00 90.00 119.41°
With the nearest neighbours (Å) after each atom.
Fractional coordinates of all 6 atoms:
Au  0.5875  0.1750  0.0000  6 Cl 2.72-2.93
Au  0.2840  0.5680  0.5000  6 Na 3.02-3.03
Na  0.6141  0.2282  0.3157  3 Cl 2.82-2.83, 3 Au 3.02-3.03
Na  0.6141  0.2282  0.6843  3 Cl 2.82-2.83, 3 Au 3.02-3.03
Cl  0.2834  0.5669  0.8402  3 Au 2.72-2.93, 3 Na 2.82-2.83
Cl  0.2834  0.5669  0.1598  3 Au 2.72-2.93, 3 Na 2.82-2.83

The value obtained for the total magnetization is 0.0000 μB/atom. For the total DFT energy (no corrections), the calculation gives -2.66 eV per atom. Its space group is No. 38.

---

VASP calculation (PBE) on Na2AuCl5 after structural relaxation.

Cell: 6.2517 7.1646 12.1348 Å, 90.00 90.00 115.87°
With the nearest neighbours (Å) after each atom.
Fractional coordinates of all 16 atoms:
Na  0.8291  0.6583  0.4183  2 Cl 2.59-2.80
Na  0.8291  0.6583  0.0817  2 Cl 2.59-2.80
Na  0.1709  0.3417  0.5817  2 Cl 2.59-2.80
Na  0.1709  0.3417  0.9183  2 Cl 2.59-2.80
Au  0.8155  0.6310  0.7500  4 Cl 2.33-2.36
Au  0.1845  0.3690  0.2500  4 Cl 2.33-2.36
Cl  0.9434  0.8868  0.8859  1 Au 2.33
Cl  0.9434  0.8868  0.6141  1 Au 2.33
Cl  0.3115  0.6230  0.3899  1 Au 2.36
Cl  0.3115  0.6230  0.1101  1 Au 2.36
Cl  0.7054  0.4107  0.2500  2 Na 2.59
Cl  0.2946  0.5893  0.7500  2 Na 2.59
Cl  0.6885  0.3770  0.6101  1 Au 2.36
Cl  0.6885  0.3770  0.8899  1 Au 2.36
Cl  0.0566  0.1132  0.1141  1 Au 2.33
Cl  0.0566  0.1132  0.3859  1 Au 2.33

The value obtained for the total magnetization is 0.0000 μB/atom. For the total DFT energy (no corrections), the calculation gives -2.89 eV per atom. Its space group is No. 63.

---

VASP calculation (PBE) on NaAuCl2 after structural relaxation.

Cell: 4.8910 4.8910 4.8910 Å, 60.00 60.00 60.00°
With the nearest neighbours (Å) after each atom.
Fractional coordinates of all 4 atoms:
Na  0.0000  0.0000  0.0000  8 Cl 3.00
Au  0.5000  0.5000  0.5000  8 Cl 3.00
Cl  0.2500  0.2500  0.2500  4 Au 3.00, 4 Na 3.00
Cl  0.7500  0.7500  0.7500  4 Au 3.00, 4 Na 3.00

The value obtained for the total magnetization is 0.0000 μB/atom. For the total DFT energy (no corrections), the calculation gives -2.72 eV per atom. As for the energy above the lowest structure with this stoichiometry: 34.7 kJ/mol of atoms. Its space group is No. 225.

---

no.,E_form (uncorrected) (eV per atom)
1,-0.878
2,-0.592
3,-1.001
4,-1.002
5,-0.723
6,-0.962
7,-0.513
8,-0.992
9,-0.643